Computed, not measured: Mn2Nb after structural relaxation at the PBEsol level of DFT.

Lattice parameters (Å, degrees): 4.7588 4.7588 7.8014 90.00 90.00 120.00
Element x y z (fractional)
Mn 0.0000 0.0000 0.0000
Mn 0.0000 0.0000 0.5000
Mn 0.1710 0.3420 0.2500
Mn 0.1710 0.8290 0.2500
Mn 0.3420 0.1710 0.7500
Mn 0.6580 0.8290 0.2500
Mn 0.8290 0.1710 0.7500
Mn 0.8290 0.6580 0.7500
Nb 0.3333 0.6667 0.5620
Nb 0.3333 0.6667 0.9380
Nb 0.6667 0.3333 0.0620
Nb 0.6667 0.3333 0.4380

Summary:
ΔE_f (eV/atom): -0.14
Energy (Ry per atom): -0.7534
Density (Mg/m³): 8.80
Space group: P6_3/mmc, No. 194
Size of the total moment (μB per formula unit): 0.01